# 1
This record from Alexandria describes a relaxed MgPbC2 crystal. The functional is GGA-PBE.

```
MgPbC2
1.0
-0.612 5.296 0.074
-4.943 -0.544 -1.922
-4.556 2.106 3.725
Mg Pb C
2 2 4
Cartesian
-6.138 1.969 0.439
-2.777 2.376 -0.924
-3.972 4.889 1.437
0.000 0.000 0.000
-2.135 3.731 0.737
-8.242 5.741 1.190
-4.309 0.886 -0.260
-5.535 3.358 2.087
```

Energy (eV/atom): -4.352
ΔH_f (0 K) (meV/atom): 1586
Offset from the most stable computed form (eV/atom): 0.000
D(E_F) (states/eV/f.u.): 3.30
Space group: I-42d

# 2
This record from Alexandria describes a relaxed CeCd2 crystal. The functional is GGA-PBE.

```
CeCd2
1.0
-5.567 2.145 0.346
-4.505 -2.948 -2.594
-4.074 -2.792 3.364
Cd Ce
4 2
Cartesian
-8.841 -2.246 0.698
-6.804 -0.850 -0.984
-6.058 -3.319 0.525
-6.589 -0.773 1.995
0.000 0.000 0.000
-3.537 -0.899 0.279
```

Energy (eV/atom): -2.776
ΔH_f (0 K) (meV/atom): -188
D(E_F) (states/eV/f.u.): 7.20
Space group: Fd-3m